1.
# PBE ScCdP, relaxed
# Size of the total moment in μB/cell: 0.00
# Density in g/cm3: 3.96
# E_form in eV per atom: -0.517
# E in eV per atom: -4.736
data_ScCdP
_cell_length_a 3.608
_cell_length_b 3.608
_cell_length_c 12.139
_cell_angle_alpha 90.00
_cell_angle_beta 90.00
_cell_angle_gamma 90.00
_symmetry_space_group_name_H-M 'I 4 m m'
_symmetry_Int_Tables_number 107
_symmetry_space_group_name_Hall 'I 4 -2'
loop_
_atom_site_label
_atom_site_fract_x
_atom_site_fract_y
_atom_site_fract_z
_atom_site_occupancy
Sc1 0.000 0.000 0.000 1
Cd1 0.000 0.000 0.246 1
P1 0.000 0.000 0.469 1

***

2.
# PBE ScCd2P2, relaxed
# Size of the total moment in μB/cell: 0.00
# Density in g/cm3: 5.08
# E_form in eV per atom: -0.216
# E in eV per atom: -4.012
data_ScCd2P2
_cell_length_a 3.779
_cell_length_b 3.779
_cell_length_c 15.179
_cell_angle_alpha 90.00
_cell_angle_beta 90.00
_cell_angle_gamma 90.00
_symmetry_space_group_name_H-M 'I 4/m m m'
_symmetry_Int_Tables_number 139
_symmetry_space_group_name_Hall '-I 4 2'
loop_
_atom_site_label
_atom_site_fract_x
_atom_site_fract_y
_atom_site_fract_z
_atom_site_occupancy
Sc1 0.000 0.000 0.000 1
Cd1 0.000 0.500 0.250 1
P1 0.000 0.000 0.428 1

***

3.
# PBE ScCdP3, relaxed
# Size of the total moment in μB/cell: 0.00
# Density in g/cm3: 3.47
# E_form in eV per atom: 0.398
# E in eV per atom: -4.297
data_ScCdP3
_cell_length_a 4.928
_cell_length_b 4.928
_cell_length_c 4.928
_cell_angle_alpha 90.00
_cell_angle_beta 90.00
_cell_angle_gamma 90.00
_symmetry_space_group_name_H-M 'P m -3 m'
_symmetry_Int_Tables_number 221
_symmetry_space_group_name_Hall '-P 4 2 3'
loop_
_atom_site_label
_atom_site_fract_x
_atom_site_fract_y
_atom_site_fract_z
_atom_site_occupancy
Sc1 0.000 0.000 0.000 1
Cd1 0.500 0.500 0.500 1
P1 0.000 0.000 0.500 1

***

4.
# PBE ScCdP3, relaxed
# Size of the total moment in μB/cell: 0.00
# Density in g/cm3: 3.56
# E_form in eV per atom: 0.797
# E in eV per atom: -3.898
data_ScCdP3
_cell_length_a 4.886
_cell_length_b 4.886
_cell_length_c 4.886
_cell_angle_alpha 90.00
_cell_angle_beta 90.00
_cell_angle_gamma 90.00
_symmetry_space_group_name_H-M 'P m -3 m'
_symmetry_Int_Tables_number 221
_symmetry_space_group_name_Hall '-P 4 2 3'
loop_
_atom_site_label
_atom_site_fract_x
_atom_site_fract_y
_atom_site_fract_z
_atom_site_occupancy
Sc1 0.000 0.000 0.000 1
Cd1 0.500 0.500 0.500 1
P1 0.000 0.500 0.500 1

***

5.
# PBE Sc2CdP2, relaxed
# Size of the total moment in μB/cell: 0.00
# Density in g/cm3: 4.80
# E_form in eV per atom: -0.940
# E in eV per atom: -5.820
data_Sc2CdP2
_cell_length_a 7.232
_cell_length_b 7.232
_cell_length_c 3.493
_cell_angle_alpha 90.00
_cell_angle_beta 90.00
_cell_angle_gamma 90.00
_symmetry_space_group_name_H-M 'P 4/m b m'
_symmetry_Int_Tables_number 127
_symmetry_space_group_name_Hall '-P 4 2ab'
loop_
_atom_site_label
_atom_site_fract_x
_atom_site_fract_y
_atom_site_fract_z
_atom_site_occupancy
Sc1 0.154 0.346 0.000 1
Cd1 0.000 0.000 0.500 1
P1 0.149 0.649 0.500 1

***

6.
# PBE ScCdP, relaxed
# Size of the total moment in μB/cell: 0.00
# Density in g/cm3: 4.64
# E_form in eV per atom: -0.270
# E in eV per atom: -4.489
data_ScCdP
_cell_length_a 6.462
_cell_length_b 6.462
_cell_length_c 6.462
_cell_angle_alpha 90.00
_cell_angle_beta 90.00
_cell_angle_gamma 90.00
_symmetry_space_group_name_H-M 'F -4 3 m'
_symmetry_Int_Tables_number 216
_symmetry_space_group_name_Hall 'F -4 2 3'
loop_
_atom_site_label
_atom_site_fract_x
_atom_site_fract_y
_atom_site_fract_z
_atom_site_occupancy
Sc1 0.000 0.000 0.000 1
Cd1 0.250 0.250 0.750 1
P1 0.250 0.250 0.250 1

***

7.
# PBE ScCdP, relaxed
# Size of the total moment in μB/cell: 0.00
# Density in g/cm3: 4.67
# E_form in eV per atom: -0.551
# E in eV per atom: -4.770
data_ScCdP
_cell_length_a 3.8557
_cell_length_b 3.8557
_cell_length_c 5.2022
_cell_angle_alpha 90.00
_cell_angle_beta 90.00
_cell_angle_gamma 120.00
_symmetry_space_group_name_H-M 'P 3 m 1'
_symmetry_Int_Tables_number 156
loop_
_symmetry_equiv_pos_as_xyz
'x,y,z'
'-y,x-y,z'
'-x+y,-x,z'
'-y,-x,z'
'-x+y,y,z'
'x,x-y,z'
loop_
_atom_site_label
_atom_site_fract_x
_atom_site_fract_y
_atom_site_fract_z
_atom_site_occupancy
Sc1 0.0000 0.0000 0.0000 1
Cd1 0.6667 0.3333 0.4441 1
P1 0.3333 0.6667 0.7579 1

***

8.
# PBE ScCdP, relaxed
# Size of the total moment in μB/cell: 0.00
# Density in g/cm3: 5.06
# E_form in eV per atom: -0.448
# E in eV per atom: -4.667
data_ScCdP
_cell_length_a 4.114
_cell_length_b 5.310
_cell_length_c 11.312
_cell_angle_alpha 90.00
_cell_angle_beta 90.00
_cell_angle_gamma 90.00
_symmetry_space_group_name_H-M 'F m m 2'
_symmetry_Int_Tables_number 42
_symmetry_space_group_name_Hall 'F 2 -2'
loop_
_atom_site_label
_atom_site_fract_x
_atom_site_fract_y
_atom_site_fract_z
_atom_site_occupancy
Sc1 0.000 0.000 0.000 1
Cd1 0.000 0.000 0.293 1
P1 0.000 0.000 0.624 1

***

9.
# PBE ScCdP, relaxed
# Size of the total moment in μB/cell: 0.00
# Density in g/cm3: 5.00
# E_form in eV per atom: -0.304
# E in eV per atom: -4.522
data_ScCdP
_cell_length_a 6.301
_cell_length_b 6.301
_cell_length_c 6.301
_cell_angle_alpha 90.00
_cell_angle_beta 90.00
_cell_angle_gamma 90.00
_symmetry_space_group_name_H-M 'F -4 3 m'
_symmetry_Int_Tables_number 216
_symmetry_space_group_name_Hall 'F -4 2 3'
loop_
_atom_site_label
_atom_site_fract_x
_atom_site_fract_y
_atom_site_fract_z
_atom_site_occupancy
Sc1 0.000 0.000 0.000 1
Cd1 0.000 0.000 0.500 1
P1 0.250 0.250 0.250 1

***

10.
# PBE Sr2ScCdP, relaxed
# Size of the total moment in μB/cell: 0.00
# Density in g/cm3: 3.48
# E_form in eV per atom: 0.015
# E in eV per atom: -3.189
data_Sr2ScCdP
_cell_length_a 5.820
_cell_length_b 5.820
_cell_length_c 5.121
_cell_angle_alpha 90.00
_cell_angle_beta 90.00
_cell_angle_gamma 90.00
_symmetry_space_group_name_H-M 'P 4/m m m'
_symmetry_Int_Tables_number 123
_symmetry_space_group_name_Hall '-P 4 2'
loop_
_atom_site_label
_atom_site_fract_x
_atom_site_fract_y
_atom_site_fract_z
_atom_site_occupancy
Sr1 0.000 0.500 0.000 1
Sc1 0.000 0.000 0.500 1
Cd1 0.500 0.500 0.500 1
P1 0.500 0.500 0.000 1

***

11.
# PBE ScTa2CdP, relaxed
# Size of the total moment in μB/cell: 0.00
# Density in g/cm3: 7.48
# E_form in eV per atom: 1.770
# E in eV per atom: -5.502
data_ScTa2CdP
_cell_length_a 5.104
_cell_length_b 5.104
_cell_length_c 4.692
_cell_angle_alpha 90.00
_cell_angle_beta 90.00
_cell_angle_gamma 90.00
_symmetry_space_group_name_H-M 'P 4/m m m'
_symmetry_Int_Tables_number 123
_symmetry_space_group_name_Hall '-P 4 2'
loop_
_atom_site_label
_atom_site_fract_x
_atom_site_fract_y
_atom_site_fract_z
_atom_site_occupancy
Sc1 0.000 0.000 0.000 1
Ta1 0.000 0.500 0.500 1
Cd1 0.500 0.500 0.500 1
P1 0.500 0.500 0.000 1

***

12.
# PBE Y2ScCdP, relaxed
# Size of the total moment in μB/cell: 0.00
# Density in g/cm3: 4.42
# E_form in eV per atom: -0.598
# E in eV per atom: -5.715
data_Y2ScCdP
_cell_length_a 5.297
_cell_length_b 5.297
_cell_length_c 4.901
_cell_angle_alpha 90.00
_cell_angle_beta 90.00
_cell_angle_gamma 90.00
_symmetry_space_group_name_H-M 'P 4/m m m'
_symmetry_Int_Tables_number 123
_symmetry_space_group_name_Hall '-P 4 2'
loop_
_atom_site_label
_atom_site_fract_x
_atom_site_fract_y
_atom_site_fract_z
_atom_site_occupancy
Y1 0.000 0.500 0.000 1
Sc1 0.000 0.000 0.500 1
Cd1 0.500 0.500 0.500 1
P1 0.000 0.000 0.000 1

***

13.
# PBE ScZnCd2P, relaxed
# Size of the total moment in μB/cell: 0.00
# Density in g/cm3: 3.93
# E_form in eV per atom: 1.087
# E in eV per atom: -1.882
data_ScZnCd2P
_cell_length_a 5.477
_cell_length_b 5.477
_cell_length_c 5.159
_cell_angle_alpha 90.00
_cell_angle_beta 90.00
_cell_angle_gamma 90.00
_symmetry_space_group_name_H-M 'P 4/m m m'
_symmetry_Int_Tables_number 123
_symmetry_space_group_name_Hall '-P 4 2'
loop_
_atom_site_label
_atom_site_fract_x
_atom_site_fract_y
_atom_site_fract_z
_atom_site_occupancy
Sc1 0.000 0.000 0.000 1
Zn1 0.000 0.000 0.500 1
Cd1 0.000 0.500 0.000 1
P1 0.500 0.500 0.500 1

***

14.
# PBE Cd2PSe, relaxed
# Size of the total moment in μB/cell: 0.00
# Density in g/cm3: 5.71
# E_form (uncorrected) in eV/atom: -0.09
# E in eV per atom: -2.773
data_Cd2PSe
_cell_length_a 8.290
_cell_length_b 3.312
_cell_length_c 7.093
_cell_angle_alpha 90.00
_cell_angle_beta 90.19
_cell_angle_gamma 90.00
_symmetry_space_group_name_H-M 'C 1 m 1'
_symmetry_Int_Tables_number 8
loop_
_symmetry_equiv_pos_as_xyz
'x,y,z'
'x,-y,z'
'x+1/2,y+1/2,z'
'x+1/2,-y+1/2,z'
loop_
_atom_site_label
_atom_site_fract_x
_atom_site_fract_y
_atom_site_fract_z
_atom_site_occupancy
Cd1 0.000 0.000 0.000 1
Cd2 0.222 0.000 0.464 1
P1 0.498 0.000 0.303 1
Se1 0.225 0.500 0.799 1

***

15.
# PBE CdP2Se, relaxed
# Size of the total moment in μB/cell: 0.00
# Density in g/cm3: 5.68
# E_form (uncorrected) in eV/atom: 0.59
# E in eV per atom: -3.211
data_CdP2Se
_cell_length_a 6.667
_cell_length_b 6.667
_cell_length_c 6.667
_cell_angle_alpha 90.00
_cell_angle_beta 90.00
_cell_angle_gamma 90.00
_symmetry_space_group_name_H-M 'F -4 3 m'
_symmetry_Int_Tables_number 216
_symmetry_space_group_name_Hall 'F -4 2 3'
loop_
_atom_site_label
_atom_site_fract_x
_atom_site_fract_y
_atom_site_fract_z
_atom_site_occupancy
Cd1 0.000 0.000 0.000 1
P1 0.000 0.000 0.500 1
P2 0.250 0.250 0.250 1
Se1 0.250 0.250 0.750 1

***

16.
# PBE CdP4Se, relaxed
# Size of the total moment in μB/cell: 0.00
# Density in g/cm3: 3.81
# E_form (uncorrected) in eV/atom: 0.44
# E in eV per atom: -3.895
data_CdP4Se
_cell_length_a 8.189
_cell_length_b 8.189
_cell_length_c 8.189
_cell_angle_alpha 90.00
_cell_angle_beta 90.00
_cell_angle_gamma 90.00
_symmetry_space_group_name_H-M 'F -4 3 m'
_symmetry_Int_Tables_number 216
_symmetry_space_group_name_Hall 'F -4 2 3'
loop_
_atom_site_label
_atom_site_fract_x
_atom_site_fract_y
_atom_site_fract_z
_atom_site_occupancy
Cd1 0.000 0.000 0.000 1
P1 0.096 0.096 0.404 1
Se1 0.250 0.250 0.750 1

***

17.
# PBE CdP2Se, relaxed
# Size of the total moment in μB/cell: 0.00
# Density in g/cm3: 3.84
# E_form (uncorrected) in eV/atom: 0.44
# E in eV per atom: -3.367
data_CdP2Se
_cell_length_a 3.606
_cell_length_b 3.606
_cell_length_c 16.835
_cell_angle_alpha 90.00
_cell_angle_beta 90.00
_cell_angle_gamma 90.00
_symmetry_space_group_name_H-M 'I 4/m m m'
_symmetry_Int_Tables_number 139
_symmetry_space_group_name_Hall '-I 4 2'
loop_
_atom_site_label
_atom_site_fract_x
_atom_site_fract_y
_atom_site_fract_z
_atom_site_occupancy
Cd1 0.000 0.000 0.000 1
P1 0.000 0.500 0.250 1
Se1 0.000 0.000 0.500 1

***

18.
# PBE CdP2Se, relaxed
# Size of the total moment in μB/cell: 0.00
# Density in g/cm3: 5.54
# E_form (uncorrected) in eV/atom: 0.54
# E in eV per atom: -3.263
data_CdP2Se
_cell_length_a 3.431
_cell_length_b 5.037
_cell_length_c 8.785
_cell_angle_alpha 90.00
_cell_angle_beta 90.00
_cell_angle_gamma 90.00
_symmetry_space_group_name_H-M 'I m m m'
_symmetry_Int_Tables_number 71
_symmetry_space_group_name_Hall '-I 2 2'
loop_
_atom_site_label
_atom_site_fract_x
_atom_site_fract_y
_atom_site_fract_z
_atom_site_occupancy
Cd1 0.000 0.000 0.000 1
P1 0.000 0.500 0.225 1
Se1 0.000 0.000 0.500 1

***

19.
# PBE CdP2Se, relaxed
# Size of the total moment in μB/cell: 0.00
# Density in g/cm3: 3.81
# E_form (uncorrected) in eV/atom: 0.42
# E in eV per atom: -3.385
data_CdP2Se
_cell_length_a 3.603
_cell_length_b 3.603
_cell_length_c 8.504
_cell_angle_alpha 90.00
_cell_angle_beta 90.00
_cell_angle_gamma 90.00
_symmetry_space_group_name_H-M 'P 4/m m m'
_symmetry_Int_Tables_number 123
_symmetry_space_group_name_Hall '-P 4 2'
loop_
_atom_site_label
_atom_site_fract_x
_atom_site_fract_y
_atom_site_fract_z
_atom_site_occupancy
Cd1 0.000 0.000 0.000 1
P1 0.000 0.500 0.500 1
Se1 0.500 0.500 0.000 1

***

20.
# PBE Cd2PSe, relaxed
# Size of the total moment in μB/cell: 0.00
# Density in g/cm3: 6.25
# E_form (uncorrected) in eV/atom: 0.08
# E in eV per atom: -2.598
data_Cd2PSe
_cell_length_a 4.296
_cell_length_b 3.905
_cell_length_c 5.586
_cell_angle_alpha 90.00
_cell_angle_beta 108.51
_cell_angle_gamma 90.00
_symmetry_space_group_name_H-M 'P 1 2/m 1'
_symmetry_Int_Tables_number 10
loop_
_symmetry_equiv_pos_as_xyz
'x,y,z'
'-x,-y,-z'
'-x,y,-z'
'x,-y,z'
loop_
_atom_site_label
_atom_site_fract_x
_atom_site_fract_y
_atom_site_fract_z
_atom_site_occupancy
Cd1 0.226 0.000 0.264 1
P1 0.000 0.500 0.500 1
Se1 0.500 0.500 0.000 1